{
  "formula": "LaIn2Se",
  "functional": "PBEsol",
  "state": "relaxed",
  "sg": "No. 99",
  "dft_energy_ev_per_atom": -4.582,
  "dos_at_fermi_per_ev_atom": 0.374,
  "crystal_system": "tetragonal",
  "lattice_angstrom": [[-2.765, 3.024, -0.103], [-0.281, -0.119, 4.087], [4.976, 4.566, 0.475]],
  "species": ["In", "In", "La", "Se"],
  "fractional_positions": [[0.000, 0.000, 0.057], [0.500, 0.500, 0.225], [0.000, 0.000, 0.562], [0.500, 0.500, 0.656]]
}



{
  "formula": "MnBe2Tl",
  "functional": "PBEsol",
  "state": "relaxed",
  "sg": "No. 99",
  "dos_at_fermi_per_ev_atom": 0.367,
  "polymorph_energy_ev_per_fu": 0.000,
  "crystal_system": "tetragonal",
  "lattice_angstrom": [[2.890, 0.000, 0.000], [0.000, 2.890, 0.000], [0.000, 0.000, 6.191]],
  "species": ["Be", "Be", "Tl", "Mn"],
  "fractional_positions": [[0.000, 0.000, 0.070], [0.500, 0.500, 0.235], [0.500, 0.500, 0.760], [0.000, 0.000, 0.434]]
}



{
  "formula": "Li5Cu",
  "functional": "PBEsol",
  "state": "relaxed",
  "sg": "No. 38",
  "dos_at_fermi_per_ev_atom": 0.434,
  "polymorph_energy_ev_per_fu": 0.104,
  "crystal_system": "orthorhombic",
  "lattice_angstrom": [[-1.560, -1.029, 2.013], [3.793, -1.215, 2.318], [0.817, 7.285, 2.483]],
  "species": ["Cu", "Li", "Li", "Li", "Li", "Li"],
  "fractional_positions": [[0.005, 0.000, 0.010], [0.354, 0.000, 0.707], [0.657, 0.000, 0.315], [0.448, 0.500, 0.897], [0.771, 0.500, 0.543], [0.098, 0.500, 0.196]]
}



{
  "formula": "MnMoIr2",
  "functional": "PBEsol",
  "state": "relaxed",
  "sg": "No. 123",
  "dos_at_fermi_per_ev_atom": 0.989,
  "polymorph_energy_ev_per_fu": 0.191,
  "crystal_system": "tetragonal",
  "lattice_angstrom": [[-0.120, -1.804, 1.983], [-0.033, -1.983, -1.807], [7.498, -0.294, 0.188]],
  "species": ["Mo", "Ir", "Ir", "Mn"],
  "fractional_positions": [[0.500, 0.500, 0.500], [0.000, 0.000, 0.765], [0.000, 0.000, 0.235], [0.500, 0.500, 0.000]]
}



{
  "formula": "CaTlCl2",
  "functional": "PBEsol",
  "state": "relaxed",
  "sg": "No. 123",
  "dos_at_fermi_per_ev_atom": 0.547,
  "polymorph_energy_ev_per_fu": 0.587,
  "crystal_system": "tetragonal",
  "lattice_angstrom": [[-0.408, -0.921, 4.073], [-1.452, -4.429, -1.147], [4.551, -1.521, 0.112]],
  "species": ["Tl", "Ca", "Cl", "Cl"],
  "fractional_positions": [[0.500, 0.500, 0.500], [0.500, 0.000, 0.000], [0.000, 0.000, 0.500], [0.000, 0.500, 0.000]]
}



{
  "formula": "Na3MnBPO7",
  "functional": "PBEsol",
  "state": "relaxed",
  "sg": "No. 11",
  "dft_energy_ev_per_atom": -6.992,
  "crystal_system": "monoclinic",
  "lattice_angstrom": [[-3.480, -3.173, 1.995], [3.138, 0.460, 6.206], [-4.790, 6.961, 1.906]],
  "species": ["Na", "Na", "Na", "Na", "Na", "Na", "Mn", "Mn", "B", "B", "P", "P", "O", "O", "O", "O", "O", "O", "O", "O", "O", "O", "O", "O", "O", "O"],
  "fractional_positions": [[0.730, 0.250, 0.578], [0.270, 0.750, 0.422], [0.244, 0.008, 0.763], [0.244, 0.492, 0.763], [0.756, 0.508, 0.237], [0.756, 0.992, 0.237], [0.719, 0.750, 0.838], [0.281, 0.250, 0.162], [0.776, 0.750, 0.569], [0.224, 0.250, 0.431], [0.776, 0.250, 0.917], [0.224, 0.750, 0.083], [0.193, 0.250, 0.583], [0.807, 0.750, 0.417], [0.535, 0.750, 0.642], [0.465, 0.250, 0.358], [0.977, 0.750, 0.685], [0.023, 0.250, 0.315], [0.074, 0.250, 0.968], [0.926, 0.750, 0.032], [0.381, 0.750, 0.933], [0.619, 0.250, 0.067], [0.716, 0.071, 0.818], [0.716, 0.429, 0.818], [0.284, 0.571, 0.182], [0.284, 0.929, 0.182]]
}



{
  "formula": "KMgBeAu2",
  "functional": "PBEsol",
  "state": "relaxed",
  "sg": "No. 123",
  "dft_energy_ev_per_atom": -2.061,
  "dos_at_fermi_per_ev_atom": 0.307,
  "crystal_system": "tetragonal",
  "lattice_angstrom": [[5.009, 0.000, 0.000], [0.000, 5.009, 0.000], [0.000, 0.000, 5.794]],
  "species": ["Be", "K", "Au", "Au", "Mg"],
  "fractional_positions": [[0.500, 0.500, 0.500], [0.000, 0.000, 0.500], [0.000, 0.500, 0.000], [0.500, 0.000, 0.000], [0.000, 0.000, 0.000]]
}



{
  "formula": "ZnCo2Tc",
  "functional": "PBEsol",
  "state": "relaxed",
  "sg": "No. 8",
  "dft_energy_ev_per_atom": -7.022,
  "dos_at_fermi_per_ev_atom": 1.018,
  "crystal_system": "monoclinic",
  "lattice_angstrom": [[-1.760, -0.092, -1.872], [0.965, -4.175, -0.701], [-2.218, -0.242, 3.862]],
  "species": ["Zn", "Co", "Co", "Tc"],
  "fractional_positions": [[0.743, 0.214, 0.485], [0.991, 0.026, 0.981], [0.257, 0.722, 0.513], [0.510, 0.538, 0.020]]
}



{
  "formula": "MgSe2N2",
  "functional": "PBEsol",
  "state": "relaxed",
  "sg": "No. 123",
  "dos_at_fermi_per_ev_atom": 0.323,
  "polymorph_energy_ev_per_fu": 0.000,
  "crystal_system": "tetragonal",
  "lattice_angstrom": [[3.721, 0.000, 0.000], [0.000, 3.721, 0.000], [0.000, 0.000, 5.792]],
  "species": ["Mg", "Se", "Se", "N", "N"],
  "fractional_positions": [[0.500, 0.500, 0.500], [0.000, 0.000, 0.000], [0.000, 0.000, 0.500], [0.000, 0.500, 0.000], [0.500, 0.000, 0.000]]
}



{
  "formula": "Ba2P",
  "functional": "PBEsol",
  "state": "relaxed",
  "sg": "No. 58",
  "dft_energy_ev_per_atom": -4.125,
  "dos_at_fermi_per_ev_atom": 0.596,
  "crystal_system": "orthorhombic",
  "lattice_angstrom": [[4.660, 0.000, 0.000], [0.000, 7.536, 0.000], [0.000, 0.000, 7.599]],
  "species": ["P", "P", "Ba", "Ba", "Ba", "Ba"],
  "fractional_positions": [[0.000, 0.000, 0.000], [0.500, 0.500, 0.500], [0.000, 0.280, 0.681], [0.000, 0.720, 0.319], [0.500, 0.780, 0.819], [0.500, 0.220, 0.181]]
}



{
  "formula": "Si2AgAs",
  "functional": "PBEsol",
  "state": "relaxed",
  "sg": "No. 122",
  "dft_energy_ev_per_atom": -4.652,
  "dos_at_fermi_per_ev_atom": 0.168,
  "crystal_system": "tetragonal",
  "lattice_angstrom": [[5.826, 0.000, 0.000], [-2.913, 5.866, 0.015], [0.000, 2.880, 5.064]],
  "species": ["As", "As", "Si", "Si", "Si", "Si", "Ag", "Ag"],
  "fractional_positions": [[0.250, 0.500, 0.250], [0.500, 0.000, 0.500], [0.622, 0.750, 0.375], [0.128, 0.750, 0.875], [0.875, 0.250, 0.622], [0.375, 0.250, 0.128], [0.750, 0.500, 0.750], [0.000, 0.000, 0.000]]
}



{
  "formula": "NaLa2AlPd",
  "functional": "PBEsol",
  "state": "relaxed",
  "sg": "No. 123",
  "dft_energy_ev_per_atom": -4.594,
  "dos_at_fermi_per_ev_atom": 1.028,
  "crystal_system": "tetragonal",
  "lattice_angstrom": [[4.815, 0.000, 0.000], [0.000, 5.660, 0.000], [0.000, 0.000, 5.660]],
  "species": ["Na", "Al", "Pd", "La", "La"],
  "fractional_positions": [[0.500, 0.500, 0.500], [0.500, 0.000, 0.000], [0.000, 0.000, 0.000], [0.000, 0.000, 0.500], [0.000, 0.500, 0.000]]
}



Number 1: total magnetization 0.0 μB/f.u.. Number 2: total magnetization 2.3 μB/f.u.. Number 3: total magnetization 0.0 μB/f.u.. Number 4: total magnetization 1.2 μB/f.u.. Number 5: total magnetization 0.0 μB/f.u.. Number 6: total magnetization 4.0 μB/f.u.. Number 7: total magnetization 0.0 μB/f.u.. Number 8: total magnetization 0.0 μB/f.u.. Number 9: total magnetization 0.0 μB/f.u.. Number 10: total magnetization 0.7 μB/f.u.. Number 11: total magnetization 0.0 μB/f.u.. Number 12: total magnetization 0.0 μB/f.u..